Record 1
Below is a geometry-optimized TaNiHg2Mo structure, with properties calculated at the PBE-GGA level.

```
TaNiHg2Mo
1.0
-4.235 -1.087 1.698
0.348 -4.145 -1.787
1.984 -1.541 3.961
Mo Ta Hg Ni
1 1 2 1
Direct
0.000 0.500 0.000
0.500 0.500 0.500
0.000 0.000 0.500
0.500 0.000 0.000
0.000 0.000 0.000
```

Properties
Energy of formation   1235.7 meV per atom
Symmetry   P4/mmm (123)


Record 2
Below is a geometry-optimized TbDyYPu structure, with properties calculated at the PBE-GGA level.

```
TbDyYPu
1.0
5.596 0.000 0.000
2.798 4.846 0.000
2.798 1.615 4.569
Y Pu Tb Dy
1 1 1 1
Direct
0.250 0.250 0.250
0.750 0.750 0.750
0.500 0.500 0.500
0.000 0.000 0.000
```

Properties
Energy of formation   198.8 meV per atom
Symmetry   F-43m (216)


Record 3
Below is a geometry-optimized YSnAu2 structure, with properties calculated at the PBE-GGA level.

```
YSnAu2
1.0
3.761 0.000 0.000
0.000 3.761 0.000
0.000 0.000 6.418
Au Sn Y
2 1 1
Direct
0.000 0.000 0.238
0.000 0.000 0.762
0.500 0.500 0.500
0.500 0.500 0.000
```

Properties
Energy of formation   -599.2 meV per atom
Symmetry   P4/mmm (123)


Record 4
Below is a geometry-optimized LaTeP structure, with properties calculated at the PBE-GGA level.

```
LaTeP
1.0
4.864 -0.001 0.000
0.590 6.130 -0.001
2.190 0.587 5.980
P Te La
2 2 2
Direct
0.048 0.900 0.677
0.801 0.057 0.467
0.786 0.708 0.294
0.521 0.355 0.963
0.202 0.381 0.549
0.440 0.865 0.919
```

Properties
Formation energy without anion corrections   -1.080 eV per atom
Symmetry   P1 (1)


Record 5
Below is a geometry-optimized La2SnSb structure, with properties calculated at the PBE-GGA level.

```
La2SnSb
1.0
8.641 0.000 0.000
0.000 8.641 0.000
4.321 4.321 3.579
Sb Sn La
2 2 4
Direct
0.750 0.250 0.500
0.000 0.000 0.000
0.500 0.500 0.000
0.250 0.750 0.500
0.875 0.878 0.750
0.122 0.625 0.250
0.628 0.125 0.250
0.375 0.372 0.750
```

Properties
Formation energy without anion corrections   -0.735 eV per atom
Symmetry   I-42d (122)


Record 6
Below is a geometry-optimized BaSrZr3 structure, with properties calculated at the PBE-GGA level.

```
BaSrZr3
1.0
5.476 0.000 0.000
0.000 5.476 0.000
0.000 0.000 5.476
Zr Sr Ba
3 1 1
Direct
0.000 0.500 0.000
0.000 0.000 0.500
0.500 0.000 0.000
0.500 0.500 0.500
0.000 0.000 0.000
```

Properties
Energy of formation   1398.4 meV per atom
Symmetry   Pm-3m (221)